# PdC3F, PBEsol geometry, DFT SCAN
# * size of the total moment: 0.597 μB/atom
# * E_form (uncorrected): 2.58 eV/atom
# * SG: Pm-3m, No. 221
# * crystal system: cubic
# * Fermi-level density of states: 3.0 states/eV/f.u.
# * ρ: 4.35 g/cm3
data_PdC3F
_cell_length_a 3.9497
_cell_length_b 3.9497
_cell_length_c 3.9497
_cell_angle_alpha 90.00
_cell_angle_beta 90.00
_cell_angle_gamma 90.00
_space_group_name_H-M_alt 'P 1'
_space_group_IT_number 1
loop_
_space_group_symop_operation_xyz
'x,y,z'
loop_
_atom_site_label
_atom_site_type_symbol
_atom_site_fract_x
_atom_site_fract_y
_atom_site_fract_z
C1 C 0.0000 0.5000 0.0000
Pd1 Pd 0.0000 0.0000 0.0000
F1 F 0.5000 0.5000 0.5000
C2 C 0.5000 0.0000 0.0000
C3 C 0.0000 0.0000 0.5000

***

# AlCu, PBEsol geometry, DFT SCAN
# * size of the total moment: 0.001 μB/atom
# * SG: I4_1/amd, No. 141
# * ΔE_f: -0.198 eV per atom
# * crystal system: tetragonal
# * Fermi-level density of states: 0.6 states/eV/f.u.
# * ρ: 5.73 g/cm3
data_AlCu
_cell_length_a 3.6855
_cell_length_b 3.6855
_cell_length_c 4.6609
_cell_angle_alpha 113.29
_cell_angle_beta 113.29
_cell_angle_gamma 90.00
_space_group_name_H-M_alt 'P 1'
_space_group_IT_number 1
loop_
_space_group_symop_operation_xyz
'x,y,z'
loop_
_atom_site_label
_atom_site_type_symbol
_atom_site_fract_x
_atom_site_fract_y
_atom_site_fract_z
Cu1 Cu 0.7500 0.2500 0.5000
Cu2 Cu 0.5000 0.5000 0.0000
Al1 Al 0.0000 0.0000 0.0000
Al2 Al 0.2500 0.7500 0.5000

***

# CrSiN2, PBEsol geometry, DFT SCAN
# * size of the total moment: 0.000 μB/atom
# * E_form (uncorrected): -0.33 eV/atom
# * SG: R-3m, No. 166
# * crystal system: trigonal
# * Fermi-level density of states: 0.8 states/eV/f.u.
# * ρ: 4.89 g/cm3
data_CrSiN2
_cell_length_a 2.6824
_cell_length_b 2.6824
_cell_length_c 6.0951
_cell_angle_alpha 77.29
_cell_angle_beta 77.29
_cell_angle_gamma 60.00
_space_group_name_H-M_alt 'P 1'
_space_group_IT_number 1
loop_
_space_group_symop_operation_xyz
'x,y,z'
loop_
_atom_site_label
_atom_site_type_symbol
_atom_site_fract_x
_atom_site_fract_y
_atom_site_fract_z
N1 N 0.8993 0.8993 0.3021
Cr1 Cr 0.5000 0.5000 0.5000
N2 N 0.1007 0.1007 0.6979
Si1 Si 0.0000 0.0000 0.0000